# LaBeZnIrS, optimized geometry, DFT PBE
# space group: No. 160
# ΔE to the lowest computed polymorph: 20.8 meV per atom
data_LaBeZnIrS
_chemical_formula_sum 'La3 Be3 Zn3 Ir3 S3'
_space_group_name_H-M_alt 'P 1'
_space_group_IT_number 1
_space_group_name_Hall 'P 1'
_cell_length_a 4.053
_cell_length_b 4.053
_cell_length_c 21.962
_cell_angle_alpha 90.00
_cell_angle_beta 90.00
_cell_angle_gamma 120.00
loop_
_atom_site_label
_atom_site_type_symbol
_atom_site_fract_x
_atom_site_fract_y
_atom_site_fract_z
_atom_site_occupancy
Ir1 Ir 0.667 0.333 0.241 1
Ir2 Ir 0.000 0.000 0.908 1
Ir3 Ir 0.333 0.667 0.575 1
La1 La 0.667 0.333 0.481 1
La2 La 0.000 0.000 0.148 1
La3 La 0.333 0.667 0.815 1
Zn1 Zn 0.333 0.667 0.968 1
Zn2 Zn 0.000 0.000 0.301 1
Zn3 Zn 0.667 0.333 0.634 1
Be1 Be 0.000 0.000 0.580 1
Be2 Be 0.667 0.333 0.914 1
Be3 Be 0.333 0.667 0.247 1
S1 S 0.333 0.667 0.074 1
S2 S 0.667 0.333 0.740 1
S3 S 0.000 0.000 0.407 1